## Er7Te2Os2 (PBE-GGA)

Data for Er7Te2Os2 after structural relaxation.

Results
- Magnetic moment: 0.07 μB per atom
- Total DFT energy (no corrections): -6.1919 eV per atom

Cell lengths 9.3006, 9.3006, 9.3006 Å; angles 155.43, 65.54, 120.30 degrees
With the nearest neighbours (Å) after each atom.
Fractional coordinates of all 11 atoms:
1 Er 0.3169 0.3169 0.0000  3 Te 3.10-3.16
2 Er 0.2299 0.5806 0.6493  2 Os 2.87, 2 Te 3.19
3 Er 0.6329 0.9471 0.6858  3 Os 2.82-3.04
4 Er 0.2613 0.9471 0.3142  3 Os 2.82-3.04
5 Er 0.6012 0.7352 0.8659  2 Os 2.83, 1 Te 3.10
6 Er 0.9313 0.5806 0.3507  2 Os 2.87, 2 Te 3.19
7 Er 0.8693 0.7352 0.1341  2 Os 2.83, 1 Te 3.10
8 Te 0.9819 0.9819 0.0000  7 Er 3.10-3.19
9 Te 0.5825 0.0825 0.5000  8 Er 3.16-3.21
10 Os 0.0119 0.2490 0.7628  7 Er 2.82-3.04
11 Os 0.4862 0.2490 0.2372  7 Er 2.82-3.04